Entry from the Alexandria database: Li6Cd5Ag after structural relaxation (GGA-PBE).

Computed properties:
For the formation energy from the elements, the calculation gives -245 meV/atom. For the magnetic moment, the calculation gives 0.00 μB per atom. The density of states at the Fermi level comes out at 3.280 states/eV/f.u. The space group is No. 2.

Cell lengths 4.6891, 6.4843, 8.0434 Å; angles 113.18, 106.35, 90.01 degrees
Sites, in units of the cell vectors:
Li: 0.9996 0.2414 0.9999
Li: 0.0004 0.7585 0.0001
Li: 0.3374 0.0829 0.6752
Li: 0.3373 0.5920 0.6743
Li: 0.6627 0.4080 0.3257
Li: 0.6626 0.9171 0.3248
Cd: 0.1670 0.6670 0.3335
Cd: 0.1693 0.1676 0.3367
Cd: 0.5000 0.5000 0.0000
Cd: 0.8307 0.8324 0.6633
Cd: 0.8330 0.3330 0.6665
Ag: 0.5000 0.0000 0.0000

=====

Entry from the Alexandria database: Li5CdAg6 after structural relaxation (GGA-PBE).

Computed properties:
For the formation energy from the elements, the calculation gives -197 meV/atom. For the magnetic moment, the calculation gives 0.00 μB per atom. The density of states at the Fermi level comes out at 3.831 states/eV/f.u. The space group is No. 12.

Cell lengths 7.6549, 7.6549, 4.3779 Å; angles 106.38, 106.38, 114.39 degrees
Sites, in units of the cell vectors:
Li: 0.0000 0.0000 0.0000
Li: 0.1764 0.8236 0.5000
Li: 0.3437 0.6563 0.0000
Li: 0.6563 0.3437 0.0000
Li: 0.8236 0.1764 0.5000
Cd: 0.5000 0.5000 0.5000
Ag: 0.0609 0.4024 0.2310
Ag: 0.2201 0.2201 0.7186
Ag: 0.4024 0.0609 0.2310
Ag: 0.5976 0.9391 0.7690
Ag: 0.7799 0.7799 0.2814
Ag: 0.9391 0.5976 0.7690